No. 1
Material: NbFeP2O8
Method: DFT, PBE with a Hubbard U
State: optimized geometry

a b c (Å): 6.1047 5.0259 10.0900
angles (deg): 87.31 90.00 90.00
With the nearest neighbours (Å) after each atom.
Fractional coordinates of all 24 atoms:
O 0.7500 0.8473 0.4475  1 P 1.51
Fe 0.2500 0.9313 0.7208  4 O 1.99-2.22
O 0.2500 0.1527 0.5525  1 P 1.51
Nb 0.7500 0.4289 0.7815  6 O 2.05-2.17
O 0.0472 0.2721 0.8394  1 P 1.59
P 0.7500 0.8727 0.5959  4 O 1.51-1.58
O 0.5544 0.7181 0.6680  1 P 1.58
Fe 0.7500 0.0687 0.2792  4 O 1.99-2.22
O 0.2500 0.8329 0.3682  1 P 1.54
O 0.7500 0.1671 0.6318  1 P 1.54
P 0.7500 0.5959 0.0904  4 O 1.51-1.59
O 0.7500 0.2954 0.1113  1 P 1.51
O 0.9528 0.7279 0.1606  1 P 1.59
O 0.5472 0.7279 0.1606  1 P 1.59
Nb 0.2500 0.5711 0.2185  6 O 2.05-2.17
O 0.2500 0.7046 0.8887  1 P 1.51
O 0.9456 0.7181 0.6680  1 P 1.58
O 0.0544 0.2819 0.3320  1 P 1.58
P 0.2500 0.1273 0.4041  4 O 1.51-1.58
O 0.4528 0.2721 0.8394  1 P 1.59
P 0.2500 0.4041 0.9096  4 O 1.51-1.59
O 0.4456 0.2819 0.3320  1 P 1.58
O 0.2500 0.3194 0.0584  1 P 1.54
O 0.7500 0.6806 0.9416  1 P 1.54

Computed properties:
SG: P2_1/m, No. 11
Electronic total energy (eV for the cell shown): -183.47
D(E_F) (states/eV/atom): 0.26

=====

No. 2
Material: NbFePO2
Method: DFT, PBE with a Hubbard U
State: optimized geometry

a b c (Å): 3.8865 3.8865 5.3263
angles (deg): 90.00 90.00 90.00
With the nearest neighbours (Å) after each atom.
Fractional coordinates of all 5 atoms:
Nb 0.0000 0.0000 0.0000  4 O 1.94
O 0.0000 0.5000 0.0000  2 Nb 1.94
Fe 0.5000 0.5000 0.5000  4 P 2.75
O 0.5000 0.0000 0.0000  2 Nb 1.94
P 0.0000 0.0000 0.5000  2 Nb 2.66, 4 Fe 2.75

Computed properties:
SG: P4/mmm, No. 123
Electronic total energy (eV for the cell shown): -35.80
D(E_F) (states/eV/atom): 1.06
Polymorph energy (0 for the lowest one) (meV per atom): 0.0

=====

No. 3
Material: Nb3FeP6O24
Method: DFT, PBE with a Hubbard U
State: optimized geometry

a b c (Å): 9.0509 9.0509 9.0509
angles (deg): 57.87 57.87 57.87
With the nearest neighbours (Å) after each atom.
Fractional coordinates of all 34 atoms:
P 0.4628 0.0331 0.7565  4 O 1.50-1.57
O 0.9273 0.2938 0.0533  1 P 1.50
O 0.7915 0.4174 0.5730  1 P 1.56
O 0.6409 0.0051 0.7696  1 P 1.55
O 0.7696 0.6409 0.0051  1 P 1.55
O 0.2767 0.5025 0.1371  1 P 1.55
P 0.5254 0.9694 0.2504  4 O 1.50-1.56
O 0.5799 0.4349 0.2092  1 P 1.57
O 0.5025 0.1371 0.2767  1 P 1.55
O 0.7017 0.9438 0.0739  1 P 1.56
O 0.2938 0.0533 0.9273  1 P 1.50
O 0.7163 0.5018 0.8668  1 P 1.55
O 0.9882 0.2388 0.3563  1 P 1.50
P 0.7565 0.4628 0.0331  4 O 1.50-1.57
O 0.1371 0.2767 0.5025  1 P 1.55
O 0.4349 0.2092 0.5799  1 P 1.57
O 0.0739 0.7017 0.9438  1 P 1.56
O 0.5018 0.8668 0.7163  1 P 1.55
O 0.3563 0.9882 0.2388  1 P 1.50
P 0.2504 0.5254 0.9694  4 O 1.50-1.56
O 0.0051 0.7696 0.6409  1 P 1.55
O 0.2388 0.3563 0.9882  1 P 1.50
Nb 0.8583 0.8583 0.8583  6 O 1.98-2.01
O 0.4174 0.5730 0.7915  1 P 1.56
Fe 0.1426 0.1426 0.1426  6 O 2.00-2.02
O 0.8668 0.7163 0.5018  1 P 1.55
O 0.5730 0.7915 0.4174  1 P 1.56
P 0.9694 0.2504 0.5254  4 O 1.50-1.56
P 0.0331 0.7565 0.4628  4 O 1.50-1.57
O 0.0533 0.9273 0.2938  1 P 1.50
O 0.2092 0.5799 0.4349  1 P 1.57
O 0.9438 0.0739 0.7017  1 P 1.56
Nb 0.3594 0.3594 0.3594  6 O 1.97-2.02
Nb 0.6423 0.6423 0.6423  6 O 1.97-2.00

Computed properties:
SG: R3, No. 146
Electronic total energy (eV for the cell shown): -265.82
D(E_F) (states/eV/atom): 0.00

=====

No. 4
Material: NbFeP2O
Method: DFT, PBE with a Hubbard U
State: optimized geometry

a b c (Å): 4.9521 4.9521 3.8633
angles (deg): 90.00 90.00 90.00
With the nearest neighbours (Å) after each atom.
Fractional coordinates of all 5 atoms:
Nb 0.0000 0.0000 0.0000  2 O 1.93
O 0.0000 0.0000 0.5000  2 Nb 1.93
P 0.5000 0.0000 0.0000  2 Nb 2.48
Fe 0.5000 0.5000 0.5000  8 P 3.14, 4 O 3.50
P 0.0000 0.5000 0.0000  2 Nb 2.48

Computed properties:
SG: P4/mmm, No. 123
Electronic total energy (eV for the cell shown): -31.78
D(E_F) (states/eV/atom): 0.81
Polymorph energy (0 for the lowest one) (meV per atom): 0.0